Entry 1:
DFT (PBE) results for an optimized crystal structure of La2Y3ErTe6.

a b c (Å): 4.403 8.918 9.900
angles (deg): 102.86 102.85 90.00
Positions (direct):
La  0.832  0.665  0.664
La  0.168  0.335  0.336
Y  0.500  0.500  0.000
Y  0.827  0.165  0.655
Y  0.173  0.835  0.345
Er  0.500  0.000  0.000
Te  0.337  0.930  0.675
Te  0.662  0.592  0.324
Te  0.663  0.070  0.325
Te  0.995  0.244  0.989
Te  0.005  0.756  0.011
Te  0.338  0.408  0.676

space-group type: C2/m (12)
DOS(E_F): 7.40 states/eV per cell
formation energy (no corrections): -1.388 eV/atom

=====

Entry 2:
DFT (PBE) results for an optimized crystal structure of KAlMo2.

a b c (Å): 2.686 4.068 8.157
angles (deg): 90.00 90.00 90.00
Positions (direct):
Mo  0.000  0.000  0.085
Mo  0.500  0.500  0.252
K  0.500  0.500  0.745
Al  0.000  0.000  0.418

space-group type: Pmm2 (25)
DOS(E_F): 3.28 states/eV per cell
calculated formation energy: 0.591 eV/atom

=====

Entry 3:
DFT (PBE) results for an optimized crystal structure of CdCo2Ru.

a b c (Å): 2.677 2.677 8.830
angles (deg): 90.00 90.00 114.51
Each line ends with the local moment (μB).
Positions (direct):
Cd  0.500  0.500  0.750  -0.02
Co  0.000  0.000  0.018  1.79
Co  0.000  0.000  0.482  1.79
Ru  0.500  0.500  0.250  1.12

space-group type: Cmmm (65)
DOS(E_F): 6.22 states/eV per cell
calculated formation energy: 0.438 eV/atom

=====

Entry 4:
DFT (PBE) results for an optimized crystal structure of Ac2TbPaP4.

a b c (Å): 4.192 7.215 7.364
angles (deg): 109.20 90.00 90.00
Positions (direct):
Ac  0.500  0.000  0.500
Ac  0.000  0.500  0.500
Tb  0.000  0.000  0.000
Pa  0.500  0.500  0.000
P  0.500  0.248  0.221
P  0.500  0.752  0.779
P  0.000  0.266  0.782
P  0.000  0.734  0.218

space-group type: P2/m (10)
DOS(E_F): 4.69 states/eV per cell
calculated formation energy: -1.433 eV/atom